Ac3SmPd2: relaxed, PBE.

Properties
D(E_F)   1.076 states/eV/atom
SG   No. 71
Energy relative to the elements   -438 meV/atom
Raw total energy   -30.1 eV per cell
Total magnetic moment   0.00 μB/atom

POSCAR file:
```
Ac3SmPd2
1.0
-2.1456 2.6999 8.2746
2.1456 -2.6999 8.2746
2.1456 2.6999 -8.2746
Ac Sm Pd
3 1 2
Direct
0.0000 0.0000 0.0000
0.3154 0.8154 0.5000
0.6846 0.1846 0.5000
0.5000 0.5000 0.0000
0.1341 0.6341 0.5000
0.8659 0.3659 0.5000
```



YSbF2: relaxed, PBE.

Properties
D(E_F)   1.068 states/eV/atom
Energy above the most stable polymorph in this dataset   622 meV per atom
SG   No. 225
Raw total energy   -21.0 eV per cell
Raw formation energy   -1.673 eV/atom
Total magnetic moment   0.00 μB/atom

POSCAR file:
```
YSbF2
1.0
0.0000 3.2805 3.2805
3.2805 0.0000 3.2805
3.2805 3.2805 0.0000
Y Sb F
1 1 2
Direct
0.0000 0.0000 0.0000
0.5000 0.5000 0.5000
0.2500 0.2500 0.2500
0.7500 0.7500 0.7500
```



Tl2OsO: relaxed, PBE.

Properties
D(E_F)   0.716 states/eV/atom
Energy above the most stable polymorph in this dataset   287 meV per atom
SG   No. 225
Raw total energy   -17.0 eV per cell
Raw formation energy   0.986 eV/atom
Total magnetic moment   0.44 μB/atom

POSCAR file:
```
Tl2OsO
1.0
0.0000 3.3321 3.3321
3.3321 0.0000 3.3321
3.3321 3.3321 0.0000
Tl Os O
2 1 1
Direct
0.2500 0.2500 0.2500
0.7500 0.7500 0.7500
0.0000 0.0000 0.0000
0.5000 0.5000 0.5000
```



AcInRhAu2: relaxed, PBE.

Properties
D(E_F)   0.423 states/eV/atom
SG   No. 44
Energy relative to the elements   -563 meV/atom
Raw total energy   -23.6 eV per cell
Total magnetic moment   0.00 μB/atom

POSCAR file:
```
AcInRhAu2
1.0
-2.0317 2.1412 6.6499
2.0317 -2.1412 6.6499
2.0317 2.1412 -6.6499
Ac In Rh Au
1 1 1 2
Direct
0.0000 0.0000 0.0000
0.2716 0.7716 0.5000
0.4194 0.4194 0.0000
0.6231 0.6231 0.0000
0.7813 0.2813 0.5000
```



Nd3SmMg: relaxed, PBE.

Properties
D(E_F)   1.360 states/eV/atom
Energy above the most stable polymorph in this dataset   127 meV per atom
SG   No. 11
Energy relative to the elements   110 meV/atom
Raw total energy   -40.1 eV per cell
Total magnetic moment   0.00 μB/atom

POSCAR file:
```
Nd3SmMg
1.0
3.8883 0.0000 0.0000
0.0000 10.7419 0.0000
-0.0101 0.0000 8.2007
Nd Sm Mg
6 2 2
Direct
0.2502 0.9996 0.2418
0.2502 0.2500 0.5561
0.2502 0.5004 0.2418
0.7498 0.0004 0.7582
0.7498 0.4996 0.7582
0.7498 0.7500 0.4439
0.2497 0.2500 0.9426
0.7503 0.7500 0.0574
0.2499 0.7500 0.7533
0.7501 0.2500 0.2467
```



LiGa2CuSe4: relaxed, PBE.

Properties
SG   No. 42
Raw total energy   -31.4 eV per cell
Raw formation energy   -0.681 eV/atom
Total magnetic moment   0.00 μB/atom

POSCAR file:
```
LiGa2CuSe4
1.0
0.0000 3.9719 5.8608
3.9714 0.0000 5.8608
3.9714 3.9719 0.0000
Li Ga Cu Se
1 2 1 4
Direct
0.0000 0.0000 0.0000
0.2497 0.2497 0.2503
0.7497 0.7497 0.7503
0.4995 0.4995 0.5005
0.1304 0.6197 0.8696
0.3801 0.8688 0.1312
0.6197 0.1304 0.3803
0.8688 0.3801 0.6199
```



Ta8Al: relaxed, PBE.

Properties
D(E_F)   1.048 states/eV/atom
SG   No. 139
Energy relative to the elements   -40 meV/atom
Raw total energy   -98.9 eV per cell
Total magnetic moment   0.00 μB/atom

POSCAR file:
```
Ta8Al
1.0
-4.8747 4.8747 1.7100
4.8747 -4.8747 1.7100
4.8747 4.8747 -1.7100
Ta Al
8 1
Direct
0.0000 0.3310 0.3310
0.0000 0.6690 0.6690
0.3310 0.0000 0.3310
0.3338 0.3338 0.6676
0.3338 0.6662 0.0000
0.6662 0.3338 0.0000
0.6662 0.6662 0.3324
0.6690 0.0000 0.6690
0.0000 0.0000 0.0000
```



Sm3CuPd3: relaxed, PBE.

Properties
D(E_F)   0.455 states/eV/atom
SG   No. 44
Energy relative to the elements   -691 meV/atom
Raw total energy   -38.7 eV per cell
Total magnetic moment   0.00 μB/atom

POSCAR file:
```
Sm3CuPd3
1.0
-1.9239 2.1517 9.5753
1.9239 -2.1517 9.5753
1.9239 2.1517 -9.5753
Sm Cu Pd
3 1 3
Direct
0.0000 0.0000 0.0000
0.3687 0.3687 0.0000
0.6822 0.1822 0.5000
0.2509 0.7509 0.5000
0.1205 0.6205 0.5000
0.5276 0.5276 0.0000
0.8310 0.8310 0.0000
```



KTl2Bi: relaxed, PBE.

Properties
D(E_F)   0.433 states/eV/atom
Energy above the most stable polymorph in this dataset   55 meV per atom
SG   No. 123
Energy relative to the elements   -152 meV/atom
Raw total energy   -10.3 eV per cell
Total magnetic moment   0.00 μB/atom

POSCAR file:
```
KTl2Bi
1.0
4.1971 0.0000 0.0000
0.0000 4.1971 0.0000
0.0000 0.0000 7.9043
K Tl Bi
1 2 1
Direct
0.0000 0.0000 0.0000
0.5000 0.5000 0.2904
0.5000 0.5000 0.7096
0.0000 0.0000 0.5000
```



RbTi3Sb: relaxed, PBE.

Properties
D(E_F)   1.868 states/eV/atom
Energy above the most stable polymorph in this dataset   815 meV per atom
SG   No. 221
Raw total energy   -19.5 eV per cell
Raw formation energy   1.851 eV/atom
Total magnetic moment   0.20 μB/atom

POSCAR file:
```
RbTi3Sb
1.0
4.7281 0.0000 0.0000
0.0000 4.7281 0.0000
0.0000 0.0000 4.7281
Rb Ti Sb
1 3 1
Direct
0.0000 0.0000 0.0000
0.0000 0.0000 0.5000
0.0000 0.5000 0.0000
0.5000 0.0000 0.0000
0.5000 0.5000 0.5000
```



Na2PmNpS4: relaxed, PBE.

Properties
D(E_F)   1.095 states/eV/atom
SG   No. 10
Raw total energy   -49.4 eV per cell
Raw formation energy   -1.569 eV/atom
Total magnetic moment   0.50 μB/atom

POSCAR file:
```
Na2PmNpS4
1.0
7.0445 0.0000 0.0000
0.0000 4.0682 0.0000
-2.3662 0.0000 6.6760
Na Pm Np S
2 1 1 4
Direct
0.0000 0.0000 0.0000
0.5000 0.5000 0.0000
0.0000 0.5000 0.5000
0.5000 0.0000 0.5000
0.2475 0.0000 0.7325
0.2626 0.5000 0.2726
0.7374 0.5000 0.7274
0.7525 0.0000 0.2675
```



LiNd4Se6: relaxed, PBE.

Properties
D(E_F)   0.457 states/eV/atom
SG   No. 167
Raw total energy   -122.4 eV per cell
Raw formation energy   -1.756 eV/atom
Total magnetic moment   0.00 μB/atom

POSCAR file:
```
LiNd4Se6
1.0
5.8360 3.3694 4.6642
-5.8360 3.3694 4.6642
0.0000 -6.7388 4.6642
Li Nd Se
2 8 12
Direct
0.0000 0.0000 0.0000
0.5000 0.5000 0.5000
0.1369 0.7500 0.3631
0.2500 0.2500 0.2500
0.2500 0.6369 0.8631
0.3631 0.1369 0.7500
0.6369 0.8631 0.2500
0.7500 0.3631 0.1369
0.7500 0.7500 0.7500
0.8631 0.2500 0.6369
0.0603 0.9175 0.6868
0.0825 0.3132 0.9397
0.1868 0.4175 0.5603
0.3132 0.9397 0.0825
0.4175 0.5603 0.1868
0.4397 0.8132 0.5825
0.5603 0.1868 0.4175
0.5825 0.4397 0.8132
0.6868 0.0603 0.9175
0.8132 0.5825 0.4397
0.9175 0.6868 0.0603
0.9397 0.0825 0.3132
```